DFT (PBE) results for a geometry-optimized VCrSiAu structure.

Output
For the uncorrected formation energy, the calculation gives -0.19 eV per formula unit. For the energy above the most stable polymorph in this dataset, the calculation gives 12.8 meV per atom.

a = 3.5781 Å, b = 4.0720 Å, c = 3.9157 Å
α = 90.00°, β = 90.00°, γ = 90.00°
With the nearest neighbours (Å) after each atom.
Space group Pmm2 (No. 25)
Symmetry-distinct sites (fractional):
V: 0.0000 0.0000 0.0000 (multiplicity 1)  4 Cr 2.65-2.66, 4 Si 2.71, 4 Au 2.82-2.83
Cr: 0.5000 0.0000 0.5010 (multiplicity 1)  4 V 2.65-2.66, 4 Au 2.71, 4 Si 2.82-2.83
Si: 0.5000 0.5000 0.9995 (multiplicity 1)  4 Au 2.65, 4 V 2.71, 4 Cr 2.82-2.83
Au: 0.0000 0.5000 0.4992 (multiplicity 1)  4 Si 2.65, 4 Cr 2.71, 4 V 2.82-2.83

=====

DFT (PBE) results for a geometry-optimized Pu2ScUSb4 structure.

Output
For the uncorrected formation energy, the calculation gives -4.65 eV per formula unit.

a = 7.5162 Å, b = 4.3445 Å, c = 7.5585 Å
α = 90.00°, β = 109.22°, γ = 90.00°
With the nearest neighbours (Å) after each atom.
Space group P2/m (No. 10)
Symmetry-distinct sites (fractional):
Pu: 0.0000 0.0000 0.0000 (multiplicity 1)  6 Sb 3.15
Pu: 0.0000 0.5000 0.5000 (multiplicity 1)  6 Sb 3.09
Sc: 0.5000 0.0000 0.5000 (multiplicity 1)  6 Sb 2.99-3.01
U: 0.5000 0.5000 0.0000 (multiplicity 1)  6 Sb 3.06-3.07
Sb: 0.2586 0.0000 0.7458 (multiplicity 2)  1 Sc 2.99, 2 U 3.07, 3 Pu 3.09-3.15
Sb: 0.2629 0.5000 0.2602 (multiplicity 2)  2 Sc 3.01, 1 U 3.06, 3 Pu 3.09-3.15

=====

DFT (PBE) results for a geometry-optimized AlNiAg2S structure.

Output
For the uncorrected formation energy, the calculation gives 1.71 eV per formula unit.

a = 4.9338 Å, b = 4.9338 Å, c = 4.1143 Å
α = 90.00°, β = 90.00°, γ = 90.00°
With the nearest neighbours (Å) after each atom.
Space group P4/mmm (No. 123)
Symmetry-distinct sites (fractional):
Al: 0.0000 0.0000 0.0000 (multiplicity 1)  8 Ag 3.21, 4 Ni 3.49
Ni: 0.5000 0.5000 0.0000 (multiplicity 1)  2 S 2.06
Ag: 0.0000 0.5000 0.5000 (multiplicity 2)  2 S 2.47
S: 0.5000 0.5000 0.5000 (multiplicity 1)  2 Ni 2.06

=====

DFT (PBE) results for a geometry-optimized Ta4TiRe structure.

Output
The value obtained for the formation energy is -116 meV per atom. For the energy above the most stable polymorph in this dataset, the calculation gives 0.0 meV per atom.

a = 3.2255 Å, b = 3.2255 Å, c = 10.0028 Å
α = 90.00°, β = 90.00°, γ = 90.00°
With the nearest neighbours (Å) after each atom.
Space group P4/mmm (No. 123)
Symmetry-distinct sites (fractional):
Ta: 0.0000 0.0000 0.1587 (multiplicity 2)  4 Re 2.78, 4 Ta 2.87
Ta: 0.5000 0.5000 0.3324 (multiplicity 2)  4 Ti 2.83, 4 Ta 2.87
Ti: 0.0000 0.0000 0.5000 (multiplicity 1)  8 Ta 2.83
Re: 0.5000 0.5000 0.0000 (multiplicity 1)  8 Ta 2.78